Compound: Co2PO
Source: Alexandria
Functional: PBE+U
Structure: optimized geometry

```
data_Co2PO
_chemical_formula_sum 'Co8 P4 O4'
_cell_length_a 5.406
_cell_length_b 5.406
_cell_length_c 5.406
_cell_angle_alpha 90.00
_cell_angle_beta 90.00
_cell_angle_gamma 90.00
_symmetry_space_group_name_H-M 'F m -3 m'
_symmetry_Int_Tables_number 225
_symmetry_space_group_name_Hall '-F 4 2 3'
loop_
_atom_site_label
_atom_site_fract_x
_atom_site_fract_y
_atom_site_fract_z
Co1 0.250 0.250 0.250
P1 0.000 0.000 0.000
O1 0.000 0.000 0.500
```

Properties
* crystal system: cubic
* E above lowest polymorph: 2.26 eV/f.u.
* total DFT energy (no corrections): -4.818 eV per atom